## Th3Bi2Te (PBE)

Data for Th3Bi2Te after structural relaxation.

Its density of states at the Fermi level is 70.7 states/eV/cell. For the total magnetic moment, the calculation gives 0.0 μB per cell. The value obtained for the uncorrected formation energy is -0.716 eV per atom. Its total DFT energy (no corrections) is -6.2431 eV per atom. Its energy above the most stable polymorph in this dataset is 7.7 kJ/mol of formula units.

It has space group Fddd (No. 70, origin choice 2), with a = 9.080 Å, b = 12.878 Å, c = 27.417 Å, α = 90.00°, β = 90.00° and γ = 90.00°. Symmetry generates all atoms from Th at (0.112, 0.375, 0.375), Th at (0.119, 0.370, 0.210), Bi at (0.125, 0.125, 0.377), Bi at (0.125, 0.125, 0.544) and Te at (0.125, 0.125, 0.041).